## NdSmY2P4 (PBE)

Data for a relaxed structure of NdSmY2P4.

formation enthalpy at 0 K: -1588 meV per atom
space-group type: P2/m
volume: 24.0 Å³/atom

Cell: 7.057 4.079 7.061 Å, 90.00 109.47 90.00°
Element x y z (fractional)
Nd (0.000, 0.000, 0.000)
Sm (0.000, 0.500, 0.500)
Y (0.500, 0.000, 0.500)
Y (0.500, 0.500, 0.000)
P (0.256, 0.000, 0.751)
P (0.258, 0.500, 0.254)
P (0.742, 0.500, 0.746)
P (0.744, 0.000, 0.249)